i) # PBE BeCd2Sn2, relaxed
# Calculated volume   234.94 Å³/cell
# Magnetization   0.00 μB per formula unit
data_BeCd2Sn2
_cell_length_a 6.621
_cell_length_b 6.621
_cell_length_c 5.360
_cell_angle_alpha 90.00
_cell_angle_beta 90.00
_cell_angle_gamma 90.00
_symmetry_space_group_name_H-M 'P 4/m b m'
_symmetry_Int_Tables_number 127
_symmetry_space_group_name_Hall '-P 4 2ab'
loop_
_atom_site_label
_atom_site_fract_x
_atom_site_fract_y
_atom_site_fract_z
_atom_site_occupancy
Be1 0.000 0.000 0.000 1
Cd1 0.162 0.338 0.000 1
Sn1 0.173 0.673 0.500 1



ii) # PBE BeCd2Sn2, relaxed
# Calculated volume   239.99 Å³/cell
# Magnetization   0.00 μB per formula unit
data_BeCd2Sn2
_cell_length_a 6.662
_cell_length_b 6.662
_cell_length_c 5.408
_cell_angle_alpha 90.00
_cell_angle_beta 90.00
_cell_angle_gamma 90.00
_symmetry_space_group_name_H-M 'P 4/m b m'
_symmetry_Int_Tables_number 127
_symmetry_space_group_name_Hall '-P 4 2ab'
loop_
_atom_site_label
_atom_site_fract_x
_atom_site_fract_y
_atom_site_fract_z
_atom_site_occupancy
Be1 0.000 0.000 0.000 1
Cd1 0.169 0.331 0.500 1
Sn1 0.158 0.658 0.000 1



We find ii) to be the most stable, with the next structure 66 meV per atom higher.